Entry 1:
Here is a geometry-optimized Li3Pd6Pb structure from the Alexandria database. Energies are from PBE-GGA.

```
data_Li3Pd6Pb
_symmetry_space_group_name_H-M 'C m c 21'
_symmetry_Int_Tables_number 36
_symmetry_space_group_name_Hall 'C 2c -2'
_cell_length_a 7.629
_cell_length_b 12.412
_cell_length_c 6.581
_cell_angle_alpha 90.00
_cell_angle_beta 90.00
_cell_angle_gamma 90.00
loop_
_atom_site_label
_atom_site_type_symbol
_atom_site_fract_x
_atom_site_fract_y
_atom_site_fract_z
Li1 Li 0.000 0.092 0.000
Li2 Li 0.174 0.369 0.505
Pd1 Pd 0.000 0.233 0.286
Pd2 Pd 0.000 0.465 0.199
Pd3 Pd 0.183 0.168 0.652
Pd4 Pd 0.185 0.041 0.320
Pb1 Pb 0.000 0.320 0.889
```

The value obtained for the calculated formation energy is -0.2710 eV/atom. The calculation puts the magnetization at 0.00 μB per formula unit. The calculated total energy comes out at -173.3 eV/cell.

Entry 2:
Here is a geometry-optimized Sc5S2 structure from the Alexandria database. Energies are from PBE-GGA.

```
data_Sc5S2
_symmetry_space_group_name_H-M 'C 1 2/c 1'
_symmetry_Int_Tables_number 15
_symmetry_space_group_name_Hall '-C 2yc'
_cell_length_a 14.943
_cell_length_b 6.066
_cell_length_c 6.318
_cell_angle_alpha 90.00
_cell_angle_beta 97.84
_cell_angle_gamma 90.00
loop_
_atom_site_label
_atom_site_type_symbol
_atom_site_fract_x
_atom_site_fract_y
_atom_site_fract_z
Sc1 Sc 0.000 0.095 0.250
Sc2 Sc 0.098 0.439 0.919
Sc3 Sc 0.220 0.124 0.286
S1 S 0.117 0.177 0.593
```

The calculation puts the magnetization at 0.00 μB per formula unit. The formation energy without anion corrections comes out at -7.1 eV per formula unit. The calculated total energy comes out at -187.9 eV/cell.

Entry 3:
Here is a geometry-optimized SmAl3CoOs structure from the Alexandria database. Energies are from PBE-GGA.

```
data_SmAl3CoOs
_symmetry_space_group_name_H-M 'C m c m'
_symmetry_Int_Tables_number 63
_symmetry_space_group_name_Hall '-C 2c 2'
_cell_length_a 7.627
_cell_length_b 10.443
_cell_length_c 5.677
_cell_angle_alpha 90.00
_cell_angle_beta 90.00
_cell_angle_gamma 90.00
loop_
_atom_site_label
_atom_site_type_symbol
_atom_site_fract_x
_atom_site_fract_y
_atom_site_fract_z
Sm1 Sm 0.000 0.217 0.250
Al1 Al 0.000 0.310 0.750
Al2 Al 0.250 0.000 0.000
Co1 Co 0.000 0.475 0.250
Os1 Os 0.000 0.079 0.750
```

The value obtained for the calculated formation energy is -0.2514 eV/atom. The calculation puts the magnetization at 0.00 μB per formula unit. The calculated total energy comes out at -143.2 eV/cell.

Entry 4:
Here is a geometry-optimized ZnCdBr2 structure from the Alexandria database. Energies are from PBE-GGA.

```
data_ZnCdBr2
_symmetry_space_group_name_H-M 'C m m 2'
_symmetry_Int_Tables_number 35
_symmetry_space_group_name_Hall 'C 2 -2'
_cell_length_a 3.717
_cell_length_b 7.288
_cell_length_c 9.376
_cell_angle_alpha 90.00
_cell_angle_beta 90.00
_cell_angle_gamma 90.00
loop_
_atom_site_label
_atom_site_type_symbol
_atom_site_fract_x
_atom_site_fract_y
_atom_site_fract_z
Zn1 Zn 0.000 0.000 0.000
Cd1 Cd 0.000 0.500 0.768
Br1 Br 0.000 0.000 0.561
Br2 Br 0.000 0.500 0.178
```

The calculation puts the magnetization at 0.00 μB per formula unit. The formation energy without anion corrections comes out at -1.4 eV per formula unit. The calculated total energy comes out at -14.0 eV/cell. Its relative energy among the computed polymorphs is 129 meV per atom.

Entry 5:
Here is a geometry-optimized Ca2SnS4 structure from the Alexandria database. Energies are from PBE-GGA.

```
data_Ca2SnS4
_symmetry_space_group_name_H-M 'I 4/m m m'
_symmetry_Int_Tables_number 139
_symmetry_space_group_name_Hall '-I 4 2'
_cell_length_a 4.994
_cell_length_b 4.994
_cell_length_c 14.163
_cell_angle_alpha 90.00
_cell_angle_beta 90.00
_cell_angle_gamma 90.00
loop_
_atom_site_label
_atom_site_type_symbol
_atom_site_fract_x
_atom_site_fract_y
_atom_site_fract_z
Ca1 Ca 0.000 0.000 0.136
Sn1 Sn 0.000 0.000 0.500
S1 S 0.000 0.000 0.324
S2 S 0.000 0.500 0.000
```

The calculation puts the magnetization at 0.00 μB per formula unit. The formation energy without anion corrections comes out at -7.3 eV per formula unit. The calculated total energy comes out at -63.6 eV/cell. Its relative energy among the computed polymorphs is 358 meV per atom.

Entry 6:
Here is a geometry-optimized Sr2TeBr structure from the Alexandria database. Energies are from PBE-GGA.

```
data_Sr2TeBr
_symmetry_space_group_name_H-M 'R -3 m'
_symmetry_Int_Tables_number 166
_symmetry_space_group_name_Hall '-R 3 2"'
_cell_length_a 4.7055
_cell_length_b 4.7055
_cell_length_c 22.1654
_cell_angle_alpha 90.00
_cell_angle_beta 90.00
_cell_angle_gamma 120.00
loop_
_atom_site_label
_atom_site_type_symbol
_atom_site_fract_x
_atom_site_fract_y
_atom_site_fract_z
Sr1 Sr 0.0000 0.0000 0.2503
Te1 Te 0.0000 0.0000 0.0000
Br1 Br 0.0000 0.0000 0.5000
```

The calculation puts the magnetization at 0.00 μB per formula unit. The formation energy without anion corrections comes out at -6.2 eV per formula unit. The calculated total energy comes out at -43.3 eV/cell. Its relative energy among the computed polymorphs is 0 meV per atom.

Entry 7:
Here is a geometry-optimized Pm3SbTeBr structure from the Alexandria database. Energies are from PBE-GGA.

```
data_Pm3SbTeBr
_symmetry_space_group_name_H-M 'P 1 21/m 1'
_symmetry_Int_Tables_number 11
_symmetry_space_group_name_Hall '-P 2yb'
_cell_length_a 9.221
_cell_length_b 4.297
_cell_length_c 10.333
_cell_angle_alpha 90.00
_cell_angle_beta 92.46
_cell_angle_gamma 90.00
loop_
_atom_site_label
_atom_site_type_symbol
_atom_site_fract_x
_atom_site_fract_y
_atom_site_fract_z
Pm1 Pm 0.113 0.250 0.339
Pm2 Pm 0.149 0.250 0.939
Pm3 Pm 0.377 0.750 0.636
Sb1 Sb 0.132 0.250 0.640
Te1 Te 0.370 0.750 0.325
Br1 Br 0.368 0.750 0.926
```

The calculation puts the magnetization at 0.58 μB per formula unit. The formation energy without anion corrections comes out at -7.0 eV per formula unit. The calculated total energy comes out at -60.4 eV/cell.

Entry 8:
Here is a geometry-optimized Mg2ScRhN structure from the Alexandria database. Energies are from PBE-GGA.

```
data_Mg2ScRhN
_symmetry_space_group_name_H-M 'P 4/m m m'
_symmetry_Int_Tables_number 123
_symmetry_space_group_name_Hall '-P 4 2'
_cell_length_a 4.786
_cell_length_b 4.786
_cell_length_c 4.816
_cell_angle_alpha 90.00
_cell_angle_beta 90.00
_cell_angle_gamma 90.00
loop_
_atom_site_label
_atom_site_type_symbol
_atom_site_fract_x
_atom_site_fract_y
_atom_site_fract_z
Mg1 Mg 0.000 0.500 0.000
Sc1 Sc 0.000 0.000 0.500
Rh1 Rh 0.000 0.000 0.000
N1 N 0.500 0.500 0.500
```

The calculation puts the magnetization at 0.00 μB per formula unit. The formation energy without anion corrections comes out at 3.7 eV per formula unit. The calculated total energy comes out at -21.5 eV/cell.